(1)
First-principles (PBE) data for a geometry-optimized Mn3Al4Ni structure, as listed in Alexandria via LeMat-Bulk.

Structure (extended XYZ):
```
8
Lattice="-0.849 -2.210 -2.400 3.268 0.837 -1.927 3.758 -5.684 3.904" Properties=species:S:1:pos:R:3 pbc="T T T"
Ni 1.210 -0.686 -2.163
Mn 0.513 -2.524 -0.225
Mn 3.089 -3.528 -0.211
Mn 2.395 -5.370 1.730
Al 1.879 -2.842 1.952
Al 4.466 -3.864 1.979
Al 0.000 0.000 0.000
Al 2.561 -0.983 -0.001
```

ΔE_f: -33.25 kJ per mole of atoms

---

(2)
First-principles (PBE) data for a geometry-optimized Mn2AlNi structure, as listed in Alexandria via LeMat-Bulk.

Structure (extended XYZ):
```
4
Lattice="8.233 0.005 0.003 7.828 2.549 0.003 7.828 1.245 2.224" Properties=species:S:1:pos:R:3 pbc="T T T"
Ni 11.948 1.900 1.116
Mn 23.816 3.788 2.224
Mn 6.027 0.959 0.563
Al 17.931 2.852 1.674
```

ΔE_f: -5.86 kJ per mole of atoms

---

(3)
First-principles (PBE) data for a geometry-optimized Mn2AlNi structure, as listed in Alexandria via LeMat-Bulk.

Structure (extended XYZ):
```
4
Lattice="4.501 -0.036 0.000 1.409 4.275 0.000 -2.955 -2.119 2.652" Properties=species:S:1:pos:R:3 pbc="T T T"
Ni 0.704 2.137 1.326
Mn 0.000 0.000 0.000
Mn 2.955 2.119 0.000
Al 2.250 -0.018 1.326
```

ΔE_f: -13.03 kJ per mole of atoms

---

(4)
First-principles (PBE) data for a geometry-optimized Mn4AlNi structure, as listed in Alexandria via LeMat-Bulk.

Structure (extended XYZ):
```
6
Lattice="-0.417 3.364 3.159 -0.068 4.436 -1.335 -3.927 2.443 0.279" Properties=species:S:1:pos:R:3 pbc="T T T"
Mn -1.865 5.521 2.358
Mn -3.608 5.063 0.928
Mn -1.692 6.053 0.127
Mn -1.658 3.851 0.790
Al 0.000 0.000 0.000
Ni -3.309 7.683 1.577
```

ΔE_f: 11.44 kJ per mole of atoms

---

(5)
First-principles (PBE) data for a geometry-optimized Mn2Al2Ni structure, as listed in Alexandria via LeMat-Bulk.

Structure (extended XYZ):
```
10
Lattice="-2.667 -1.977 4.919 4.927 -2.956 1.484 1.253 3.045 1.903" Properties=species:S:1:pos:R:3 pbc="T T T"
Ni 0.000 0.000 0.000
Ni 1.130 -2.466 3.201
Mn 3.308 -3.322 3.135
Mn 0.755 -3.578 5.227
Mn -1.048 -1.611 3.267
Mn 1.505 -1.354 1.175
Al 3.485 -0.818 2.812
Al 2.893 -2.251 5.495
Al 0.028 -1.070 5.494
Al 0.620 0.363 2.811
```

ΔE_f: -0.12 kJ per mole of atoms

---

(6)
First-principles (PBE) data for a geometry-optimized MnAl4Ni15 structure, as listed in Alexandria via LeMat-Bulk.

Structure (extended XYZ):
```
20
Lattice="3.565 0.000 0.000 0.000 3.565 0.000 0.000 0.000 17.789" Properties=species:S:1:pos:R:3 pbc="T T T"
Mn 0.000 0.000 0.000
Al 0.000 0.000 3.568
Al 0.000 0.000 7.115
Al 0.000 0.000 10.674
Al 0.000 0.000 14.221
Ni 1.783 1.783 0.000
Ni 1.783 1.783 3.546
Ni 1.783 1.783 7.109
Ni 1.783 1.783 10.680
Ni 1.783 1.783 14.243
Ni 1.783 0.000 1.769
Ni 1.783 0.000 5.330
Ni 1.783 0.000 8.894
Ni 1.783 0.000 12.459
Ni 1.783 0.000 16.019
Ni 0.000 1.783 1.769
Ni 0.000 1.783 5.330
Ni 0.000 1.783 8.894
Ni 0.000 1.783 12.459
Ni 0.000 1.783 16.019
```

ΔE_f: -34.79 kJ per mole of atoms

---

(7)
First-principles (PBE) data for a geometry-optimized MnAl5Ni6 structure, as listed in Alexandria via LeMat-Bulk.

Structure (extended XYZ):
```
12
Lattice="3.975 0.002 -0.830 -0.003 5.872 -0.001 -0.740 0.000 6.387" Properties=species:S:1:pos:R:3 pbc="T T T"
Ni 2.812 4.402 3.548
Ni 2.813 1.473 3.548
Ni 1.987 1.510 -0.415
Ni 1.245 4.364 5.972
Ni 0.419 4.401 2.009
Ni 0.420 1.472 2.009
Mn 0.000 0.000 0.000
Al 2.404 2.937 1.582
Al 0.835 5.873 4.018
Al -0.001 2.936 0.000
Al 2.397 0.001 1.539
Al 0.828 2.937 3.975
```

ΔE_f: -54.47 kJ per mole of atoms

---

(8)
First-principles (PBE) data for a geometry-optimized MnAl2Ni8 structure, as listed in Alexandria via LeMat-Bulk.

Structure (extended XYZ):
```
11
Lattice="-3.541 -0.082 -0.832 0.429 -5.548 -1.279 0.312 0.453 6.580" Properties=species:S:1:pos:R:3 pbc="T T T"
Mn -1.770 -0.041 -0.416
Al -0.371 -3.445 1.916
Al -2.429 -1.732 2.553
Ni -1.845 -2.502 0.143
Ni -0.899 -0.228 3.847
Ni -0.326 -0.924 1.480
Ni 0.189 -3.980 -0.412
Ni -2.473 -4.253 2.989
Ni -1.901 -4.950 0.622
Ni -0.955 -2.675 4.326
Ni -2.988 -1.197 4.881
```

ΔE_f: -27.51 kJ per mole of atoms